1.
Ca2ZrTa | SCAN | single point on PBEsol structure Values from VASP.

Quantum ESPRESSO input file:
```
&SYSTEM
  ibrav = 0, nat = 4, ntyp = 3
/
ATOMIC_SPECIES
Ca 40.08 Ca.upf
Zr 91.22 Zr.upf
Ta 180.95 Ta.upf
ATOMIC_POSITIONS angstrom
Ca 0.000 0.000 2.670
Ca 0.000 0.000 9.059
Zr 0.000 2.581 0.000
Ta 1.637 0.000 0.000
CELL_PARAMETERS angstrom
-1.637 2.581 5.865
1.637 -2.581 5.865
1.637 2.581 -5.865
```

* D(E_F): 4.21 states/eV per cell
* magnetization: 0.29 μB/f.u.
* ΔE to the lowest computed polymorph: 269 meV per atom

2.
CaZrTa2 | SCAN | single point on PBEsol structure Values from VASP.

Quantum ESPRESSO input file:
```
&SYSTEM
  ibrav = 0, nat = 4, ntyp = 3
/
ATOMIC_SPECIES
Ca 40.08 Ca.upf
Zr 91.22 Zr.upf
Ta 180.95 Ta.upf
ATOMIC_POSITIONS angstrom
Ca 0.000 0.000 0.000
Zr -0.201 2.338 4.291
Ta 1.022 0.000 3.018
Ta 1.769 2.338 1.773
CELL_PARAMETERS angstrom
2.983 0.000 0.000
0.000 4.676 0.000
-1.395 0.000 6.288
```

* D(E_F): 3.08 states/eV per cell
* magnetization: 0.00 μB/f.u.
* ΔE to the lowest computed polymorph: 0 meV per atom

3.
Ca2ZrTa | SCAN | single point on PBEsol structure Values from VASP.

Quantum ESPRESSO input file:
```
&SYSTEM
  ibrav = 0, nat = 4, ntyp = 3
/
ATOMIC_SPECIES
Ca 40.08 Ca.upf
Zr 91.22 Zr.upf
Ta 180.95 Ta.upf
ATOMIC_POSITIONS angstrom
Ca 0.000 0.000 2.721
Ca 0.000 0.000 8.770
Zr 1.677 0.000 5.746
Ta 1.677 0.000 0.000
CELL_PARAMETERS angstrom
1.677 -2.527 0.000
1.677 2.527 0.000
0.000 0.000 11.492
```

* D(E_F): 4.33 states/eV per cell
* magnetization: 0.06 μB/f.u.
* ΔE to the lowest computed polymorph: 266 meV per atom

4.
CaZrTa2 | SCAN | single point on PBEsol structure Values from VASP.

Quantum ESPRESSO input file:
```
&SYSTEM
  ibrav = 0, nat = 4, ntyp = 3
/
ATOMIC_SPECIES
Ca 40.08 Ca.upf
Zr 91.22 Zr.upf
Ta 180.95 Ta.upf
ATOMIC_POSITIONS angstrom
Ca 0.000 0.000 0.000
Zr 2.977 0.000 0.000
Ta 1.243 2.544 1.355
Ta 1.243 -2.544 1.355
CELL_PARAMETERS angstrom
2.977 -5.087 0.000
2.977 5.087 0.000
-0.492 0.000 2.711
```

* D(E_F): 5.40 states/eV per cell
* magnetization: 0.00 μB/f.u.
* ΔE to the lowest computed polymorph: 164 meV per atom

5.
CaZr2Ta | SCAN | single point on PBEsol structure Values from VASP.

Quantum ESPRESSO input file:
```
&SYSTEM
  ibrav = 0, nat = 4, ntyp = 3
/
ATOMIC_SPECIES
Ca 40.08 Ca.upf
Zr 91.22 Zr.upf
Ta 180.95 Ta.upf
ATOMIC_POSITIONS angstrom
Ca 0.000 0.000 0.000
Zr 0.029 2.520 4.169
Zr 1.660 0.000 2.844
Ta 1.440 2.520 1.594
CELL_PARAMETERS angstrom
3.052 0.000 0.000
0.000 5.039 0.000
-1.479 0.000 5.984
```

* D(E_F): 4.19 states/eV per cell
* magnetization: 0.00 μB/f.u.
* ΔE to the lowest computed polymorph: 0 meV per atom

6.
Ca2ZrTa | SCAN | single point on PBEsol structure Values from VASP.

Quantum ESPRESSO input file:
```
&SYSTEM
  ibrav = 0, nat = 4, ntyp = 3
/
ATOMIC_SPECIES
Ca 40.08 Ca.upf
Zr 91.22 Zr.upf
Ta 180.95 Ta.upf
ATOMIC_POSITIONS angstrom
Ca 0.000 0.000 0.000
Ca 1.958 0.000 3.300
Zr 1.958 0.000 7.786
Ta 0.000 0.000 5.811
CELL_PARAMETERS angstrom
1.958 -2.503 0.000
1.958 2.503 0.000
0.000 0.000 10.699
```

* D(E_F): 4.07 states/eV per cell
* magnetization: 0.39 μB/f.u.
* ΔE to the lowest computed polymorph: 0 meV per atom

7.
CaZrTa2 | SCAN | single point on PBEsol structure Values from VASP.

Quantum ESPRESSO input file:
```
&SYSTEM
  ibrav = 0, nat = 4, ntyp = 3
/
ATOMIC_SPECIES
Ca 40.08 Ca.upf
Zr 91.22 Zr.upf
Ta 180.95 Ta.upf
ATOMIC_POSITIONS angstrom
Ca 0.000 0.000 0.000
Zr -0.670 0.000 3.066
Ta 0.372 2.439 4.330
Ta 1.183 2.439 1.803
CELL_PARAMETERS angstrom
2.896 0.000 0.000
0.000 4.878 0.000
-1.341 0.000 6.133
```

* D(E_F): 5.09 states/eV per cell
* magnetization: 0.00 μB/f.u.
* ΔE to the lowest computed polymorph: 97 meV per atom

8.
CaZr2Ta | SCAN | single point on PBEsol structure Values from VASP.

Quantum ESPRESSO input file:
```
&SYSTEM
  ibrav = 0, nat = 4, ntyp = 3
/
ATOMIC_SPECIES
Ca 40.08 Ca.upf
Zr 91.22 Zr.upf
Ta 180.95 Ta.upf
ATOMIC_POSITIONS angstrom
Ca 0.000 0.000 0.000
Zr 1.598 2.248 1.536
Zr 1.598 -2.248 1.536
Ta 3.197 0.000 0.000
CELL_PARAMETERS angstrom
3.197 -4.496 0.000
3.197 4.496 0.000
0.000 0.000 3.073
```

* D(E_F): 4.93 states/eV per cell
* magnetization: 0.00 μB/f.u.
* ΔE to the lowest computed polymorph: 99 meV per atom

9.
CaZrTa2 | SCAN | single point on PBEsol structure Values from VASP.

Quantum ESPRESSO input file:
```
&SYSTEM
  ibrav = 0, nat = 4, ntyp = 3
/
ATOMIC_SPECIES
Ca 40.08 Ca.upf
Zr 91.22 Zr.upf
Ta 180.95 Ta.upf
ATOMIC_POSITIONS angstrom
Ca 0.000 0.000 0.000
Zr 1.922 2.196 0.000
Ta 0.000 2.196 2.444
Ta 1.922 0.000 2.444
CELL_PARAMETERS angstrom
3.844 0.000 0.000
0.000 4.392 0.000
0.000 0.000 4.887
```

* D(E_F): 3.75 states/eV per cell
* magnetization: 0.00 μB/f.u.
* ΔE to the lowest computed polymorph: 212 meV per atom

10.
Ca2Tc | SCAN | single point on PBEsol structure Values from VASP.

Quantum ESPRESSO input file:
```
&SYSTEM
  ibrav = 0, nat = 3, ntyp = 2
/
ATOMIC_SPECIES
Ca 40.08 Ca.upf
Tc 98.00 Tc.upf
ATOMIC_POSITIONS angstrom
Ca 0.000 2.951 1.012
Ca 2.556 1.475 1.906
Tc 0.000 0.000 0.000
CELL_PARAMETERS angstrom
5.111 0.000 0.000
-2.556 4.426 0.000
0.000 0.000 2.918
```

* D(E_F): 1.50 states/eV per cell
* magnetization: 0.00 μB/f.u.
* ΔE to the lowest computed polymorph: 463 meV per atom

11.
CaTc3 | SCAN | single point on PBEsol structure Values from VASP.

Quantum ESPRESSO input file:
```
&SYSTEM
  ibrav = 0, nat = 4, ntyp = 2
/
ATOMIC_SPECIES
Ca 40.08 Ca.upf
Tc 98.00 Tc.upf
ATOMIC_POSITIONS angstrom
Ca 0.000 0.000 0.000
Tc 1.569 1.569 1.569
Tc 3.138 3.138 3.138
Tc 4.707 4.707 4.707
CELL_PARAMETERS angstrom
0.000 3.138 3.138
3.138 0.000 3.138
3.138 3.138 0.000
```

* D(E_F): 3.02 states/eV per cell
* magnetization: 0.00 μB/f.u.
* ΔE to the lowest computed polymorph: 0 meV per atom

12.
CaTc3 | SCAN | single point on PBEsol structure Values from VASP.

Quantum ESPRESSO input file:
```
&SYSTEM
  ibrav = 0, nat = 4, ntyp = 2
/
ATOMIC_SPECIES
Ca 40.08 Ca.upf
Tc 98.00 Tc.upf
ATOMIC_POSITIONS angstrom
Ca 0.000 0.000 0.000
Tc 0.000 2.261 1.528
Tc 2.261 0.000 1.528
Tc 2.261 2.261 0.000
CELL_PARAMETERS angstrom
4.522 0.000 0.000
0.000 4.522 0.000
0.000 0.000 3.055
```

* D(E_F): 4.32 states/eV per cell
* magnetization: 0.00 μB/f.u.
* ΔE to the lowest computed polymorph: 177 meV per atom

13.
Ca2Tc | SCAN | single point on PBEsol structure Values from VASP.

Quantum ESPRESSO input file:
```
&SYSTEM
  ibrav = 0, nat = 6, ntyp = 2
/
ATOMIC_SPECIES
Ca 40.08 Ca.upf
Tc 98.00 Tc.upf
ATOMIC_POSITIONS angstrom
Ca -0.436 0.000 1.538
Ca 2.742 0.000 2.826
Ca 5.941 0.000 5.019
Ca 9.119 0.000 6.307
Tc 0.648 0.000 7.550
Tc 8.035 0.000 0.295
CELL_PARAMETERS angstrom
5.779 -1.839 0.000
5.779 1.839 0.000
-2.876 0.000 7.845
```

* D(E_F): 6.64 states/eV per cell
* magnetization: 0.00 μB/f.u.
* ΔE to the lowest computed polymorph: 0 meV per atom

14.
Ca5Tc | SCAN | single point on PBEsol structure Values from VASP.

Quantum ESPRESSO input file:
```
&SYSTEM
  ibrav = 0, nat = 6, ntyp = 2
/
ATOMIC_SPECIES
Ca 40.08 Ca.upf
Tc 98.00 Tc.upf
ATOMIC_POSITIONS angstrom
Ca 0.000 0.000 0.000
Ca 0.000 0.000 5.014
Ca 2.770 0.000 3.383
Ca 2.770 0.000 10.258
Ca 2.770 0.000 16.419
Tc 0.000 0.000 11.973
CELL_PARAMETERS angstrom
5.540 0.000 0.000
0.000 1.791 9.520
0.000 -1.791 9.520
```

* D(E_F): 5.08 states/eV per cell
* magnetization: 1.74 μB/f.u.
* uncorrected energy: -13.447 eV/atom

15.
CaTcTe2 | SCAN | single point on PBEsol structure Values from VASP.

Quantum ESPRESSO input file:
```
&SYSTEM
  ibrav = 0, nat = 4, ntyp = 3
/
ATOMIC_SPECIES
Ca 40.08 Ca.upf
Tc 98.00 Tc.upf
Te 127.60 Te.upf
ATOMIC_POSITIONS angstrom
Ca 0.000 0.000 0.000
Tc 0.000 0.000 3.651
Te 2.224 0.000 2.055
Te 0.000 2.731 1.597
CELL_PARAMETERS angstrom
-2.224 2.731 3.651
2.224 -2.731 3.651
2.224 2.731 -3.651
```

* formation energy (no corrections): -0.23 eV/atom
* D(E_F): 1.89 states/eV per cell
* magnetization: 0.00 μB/f.u.
* ΔE to the lowest computed polymorph: 194 meV per atom